{
  "formula": "Sm6Er3Pu",
  "functional": "PBE-GGA",
  "state": "relaxed",
  "lattice": [[-3.733, -4.066, -0.858], [7.451, -6.481, -1.707], [2.268, -0.553, 12.002]],
  "species": ["Er", "Pu", "Er", "Sm", "Sm", "Pu", "Er", "Sm", "Sm", "Er", "Er", "Sm", "Sm", "Sm", "Sm", "Sm", "Sm", "Sm", "Sm", "Er"],
  "fractional_positions": [[0.500, 0.500, 0.000], [0.000, 0.000, 0.000], [0.449, 0.167, 0.864], [0.501, 0.186, 0.500], [0.360, 0.499, 0.239], [0.500, 0.500, 0.500], [0.051, 0.667, 0.636], [0.640, 0.501, 0.761], [0.860, 0.001, 0.739], [0.551, 0.833, 0.136], [0.000, 0.000, 0.500], [0.001, 0.314, 0.000], [0.062, 0.330, 0.647], [0.999, 0.686, 0.000], [0.562, 0.170, 0.147], [0.938, 0.670, 0.353], [0.140, 0.999, 0.261], [0.499, 0.814, 0.500], [0.438, 0.830, 0.853], [0.949, 0.333, 0.364]],
  "m_tot_mub_per_atom": 0.563,
  "volume_a3_per_cell": 664.2,
  "ef_mev_per_atom": 233,
  "energy_ev_per_atom": -5.400,
  "sg": "P2_1/c, No. 14"
}